(1)
A plane-wave DFT calculation with GGA-PBE was carried out for a relaxed structure of LiTmMgTl.

Magnetic moment: 0.0 μB per formula unit
Energy relative to the lowest polymorph listed for this composition: 3.6 meV per atom
Density: 7.21 g/cm³
Total energy: -2.754 eV per atom
Formation energy: -168 meV per atom

a b c (Å): 7.196 7.196 7.196
angles (deg): 90.00 90.00 90.00
Space group F-43m (No. 216)
Asymmetric unit:
Li 0.000 0.000 0.000 x4
Tm 0.000 0.000 0.500 x4
Mg 0.250 0.250 0.750 x4
Tl 0.250 0.250 0.250 x4

***

(2)
A plane-wave DFT calculation with GGA-PBE was carried out for a relaxed structure of LiYMgTl.

Magnetic moment: 0.0 μB per formula unit
Density: 5.80 g/cm³
Total energy: -3.302 eV per atom
Formation energy: -217 meV per atom

a b c (Å): 7.189 7.189 7.189
angles (deg): 90.00 90.00 90.00
Space group F-43m (No. 216)
Asymmetric unit:
Li 0.000 0.000 0.000 x4
Y 0.250 0.250 0.750 x4
Mg 0.250 0.250 0.250 x4
Tl 0.000 0.000 0.500 x4

***

(3)
A plane-wave DFT calculation with GGA-PBE was carried out for a relaxed structure of LiYMgTl2.

Magnetic moment: 0.0 μB per formula unit
Density: 6.53 g/cm³
Total energy: -3.047 eV per atom
Formation energy: -106 meV per atom

a b c (Å): 5.0338 5.0338 6.1285
angles (deg): 90.00 90.00 120.00
Space group P3m1 (No. 156)
Asymmetric unit:
Li 0.0000 0.0000 0.0000 x1
Y 0.3333 0.6667 0.6681 x1
Mg 0.6667 0.3333 0.3410 x1
Tl 0.0000 0.0000 0.4684 x1
Tl 0.6667 0.3333 0.8715 x1

***

(4)
A plane-wave DFT calculation with GGA-PBE was carried out for a relaxed structure of LiMgTl2Zn.

Magnetic moment: 0.0 μB per formula unit
Density: 6.41 g/cm³
Total energy: -1.626 eV per atom
Formation energy: 277 meV per atom

a b c (Å): 5.066 5.066 5.102
angles (deg): 90.00 90.00 90.00
Space group P4/mmm (No. 123)
Asymmetric unit:
Li 0.000 0.000 0.000 x1
Mg 0.000 0.000 0.500 x1
Tl 0.000 0.500 0.000 x2
Zn 0.500 0.500 0.500 x1

***

(5)
A plane-wave DFT calculation with GGA-PBE was carried out for a relaxed structure of Li5Mg2Tl2Zn.

Magnetic moment: 0.0 μB per formula unit
Density: 4.50 g/cm³
Total energy: -1.958 eV per atom
Formation energy: -82 meV per atom

a b c (Å): 10.390 10.390 3.810
angles (deg): 90.00 90.00 90.00
Space group P4/mbm (No. 127)
Asymmetric unit:
Li 0.000 0.500 0.000 x2
Li 0.062 0.184 0.000 x8
Mg 0.165 0.665 0.500 x4
Tl 0.135 0.365 0.500 x4
Zn 0.000 0.000 0.500 x2

***

(6)
A plane-wave DFT calculation with GGA-PBE was carried out for a relaxed structure of LiMgTlZn2.

Magnetic moment: 0.0 μB per formula unit
Density: 5.46 g/cm³
Total energy: -1.409 eV per atom
Formation energy: 276 meV per atom

a b c (Å): 4.714 4.714 5.015
angles (deg): 90.00 90.00 90.00
Space group P4/mmm (No. 123)
Asymmetric unit:
Li 0.000 0.000 0.000 x1
Mg 0.000 0.000 0.500 x1
Tl 0.500 0.500 0.500 x1
Zn 0.000 0.500 0.000 x2